1.
# Zr2SeS3, optimized geometry, DFT PBE
# * E above lowest polymorph: 0.0 meV per atom
# * total magnetization: 0.00 μB per formula unit
data_Zr2SeS3
_cell_length_a 3.710
_cell_length_b 6.425
_cell_length_c 12.971
_cell_angle_alpha 90.00
_cell_angle_beta 90.00
_cell_angle_gamma 90.00
_symmetry_space_group_name_H-M 'P m n 21'
_symmetry_Int_Tables_number 31
loop_
_symmetry_equiv_pos_as_xyz
'x,y,z'
'-x+1/2,-y,z+1/2'
'-x,y,z'
'x+1/2,-y,z+1/2'
loop_
_atom_site_label
_atom_site_fract_x
_atom_site_fract_y
_atom_site_fract_z
Zr1 0.000 0.027 0.000
Zr2 0.000 0.469 0.499
Se1 0.000 0.804 0.372
S1 0.000 0.136 0.610
S2 0.000 0.361 0.109
S3 0.000 0.695 0.887

=====

2.
# ZrAgHg2Br6, optimized geometry, DFT PBE
# * total magnetization: 0.05 μB per formula unit
# * calculated total energy: -2.86 eV/atom
data_ZrAgHg2Br6
_cell_length_a 10.934
_cell_length_b 10.934
_cell_length_c 10.934
_cell_angle_alpha 90.00
_cell_angle_beta 90.00
_cell_angle_gamma 90.00
_symmetry_space_group_name_H-M 'F m -3 m'
_symmetry_Int_Tables_number 225
_symmetry_space_group_name_Hall '-F 4 2 3'
loop_
_atom_site_label
_atom_site_fract_x
_atom_site_fract_y
_atom_site_fract_z
Zr1 0.000 0.000 0.000
Ag1 0.000 0.000 0.500
Hg1 0.250 0.250 0.250
Br1 0.000 0.000 0.241

=====

3.
# Y2MgTcC, optimized geometry, DFT PBE
# * total magnetization: 0.01 μB per formula unit
# * calculated total energy: -7.05 eV/atom
data_Y2MgTcC
_cell_length_a 5.018
_cell_length_b 5.018
_cell_length_c 4.016
_cell_angle_alpha 90.00
_cell_angle_beta 90.00
_cell_angle_gamma 90.00
_symmetry_space_group_name_H-M 'P 4/m m m'
_symmetry_Int_Tables_number 123
_symmetry_space_group_name_Hall '-P 4 2'
loop_
_atom_site_label
_atom_site_fract_x
_atom_site_fract_y
_atom_site_fract_z
Y1 0.000 0.500 0.000
Mg1 0.000 0.000 0.500
Tc1 0.500 0.500 0.500
C1 0.500 0.500 0.000

=====

4.
# AgHgAsO, optimized geometry, DFT PBE
# * E above lowest polymorph: 48.4 meV per atom
data_AgHgAsO
_cell_length_a 3.227
_cell_length_b 7.495
_cell_length_c 6.723
_cell_angle_alpha 90.00
_cell_angle_beta 90.00
_cell_angle_gamma 90.00
_symmetry_space_group_name_H-M 'P m c 21'
_symmetry_Int_Tables_number 26
loop_
_symmetry_equiv_pos_as_xyz
'x,y,z'
'-x,-y,z+1/2'
'-x,y,z'
'x,-y,z+1/2'
loop_
_atom_site_label
_atom_site_fract_x
_atom_site_fract_y
_atom_site_fract_z
Ag1 0.000 0.128 0.000
Hg1 0.500 0.319 0.423
As1 0.500 0.347 0.823
O1 0.000 0.121 0.326